The following is a DFT calculation (GGA-PBEsol) of a relaxed structure of Cd2Co.

Output
DFT total energy	-3.09	eV per atom
density of states at the Fermi level	1.47	states/eV per atom
formation energy	0.292	eV/atom
crystal system	tetragonal

a = 2.866 Å, b = 2.866 Å, c = 12.525 Å
α = 96.60°, β = 96.57°, γ = 90.00°
Site moments in Bohr magnetons follow the coordinates.
Fractional coordinates of all 6 atoms:
Cd 0.947 0.697 0.893  -0.02
Cd 0.197 0.447 0.393  -0.02
Cd 0.053 0.303 0.107  -0.02
Cd 0.803 0.553 0.607  -0.02
Co 0.625 0.875 0.250  0.92
Co 0.375 0.125 0.750  0.92


The following is a DFT calculation (GGA-PBEsol) of a relaxed structure of Cd2Co.

Output
DFT total energy	-3.05	eV per atom
density of states at the Fermi level	1.19	states/eV per atom
formation energy	0.328	eV/atom
crystal system	trigonal

a = 2.890 Å, b = 2.890 Å, c = 6.912 Å
α = 90.00°, β = 90.00°, γ = 120.00°
Site moments in Bohr magnetons follow the coordinates.
Fractional coordinates of all 3 atoms:
Cd 0.667 0.333 0.307  -0.01
Cd 0.333 0.667 0.693  -0.01
Co 0.000 0.000 0.000  1.49


The following is a DFT calculation (GGA-PBEsol) of a relaxed structure of Cr2CdCo.

Output
DFT total energy	-7.02	eV per atom
density of states at the Fermi level	1.15	states/eV per atom
formation energy	0.330	eV/atom
crystal system	tetragonal

a = 2.877 Å, b = 2.877 Å, c = 6.347 Å
α = 90.00°, β = 90.00°, γ = 90.00°
Site moments in Bohr magnetons follow the coordinates.
Fractional coordinates of all 4 atoms:
Cr 0.000 0.000 0.003  -0.77
Cr 0.500 0.500 0.193  1.53
Cd 0.000 0.000 0.510  0.00
Co 0.500 0.500 0.794  0.80


The following is a DFT calculation (GGA-PBEsol) of a relaxed structure of Cr2CdCo.

Output
DFT total energy	-6.94	eV per atom
density of states at the Fermi level	0.99	states/eV per atom
formation energy	0.410	eV/atom
crystal system	orthorhombic

a = 2.768 Å, b = 3.565 Å, c = 5.392 Å
α = 90.00°, β = 90.02°, γ = 90.00°
Site moments in Bohr magnetons follow the coordinates.
Fractional coordinates of all 4 atoms:
Cd 0.500 0.500 0.000  0.00
Cr 0.000 0.000 0.316  0.40
Cr 0.000 0.000 0.684  0.40
Co 0.500 0.500 0.500  1.03


The following is a DFT calculation (GGA-PBEsol) of a relaxed structure of Cr2CdCo.

Output
DFT total energy	-6.84	eV per atom
density of states at the Fermi level	1.37	states/eV per atom
formation energy	0.518	eV/atom
crystal system	cubic

a = 4.228 Å, b = 4.228 Å, c = 4.228 Å
α = 60.00°, β = 60.00°, γ = 60.00°
Site moments in Bohr magnetons follow the coordinates.
Fractional coordinates of all 4 atoms:
Cr 0.000 0.000 0.000  -2.07
Cr 0.750 0.750 0.750  2.65
Co 0.250 0.250 0.250  0.10
Cd 0.500 0.500 0.500  0.06


The following is a DFT calculation (GGA-PBEsol) of a relaxed structure of CrCdCoHg2.

Output
DFT total energy	-2.49	eV per atom
density of states at the Fermi level	1.29	states/eV per atom
formation energy	1.573	eV/atom
crystal system	tetragonal

a = 5.096 Å, b = 5.147 Å, c = 5.147 Å
α = 90.00°, β = 90.00°, γ = 90.00°
Site moments in Bohr magnetons follow the coordinates.
Fractional coordinates of all 5 atoms:
Cr 0.500 0.000 0.000  4.05
Hg 0.000 0.000 0.500  0.00
Hg 0.000 0.500 0.000  0.00
Co 0.500 0.500 0.500  2.14
Cd 0.000 0.000 0.000  0.05


The following is a DFT calculation (GGA-PBEsol) of a relaxed structure of Cr2CdInCo.

Output
DFT total energy	-4.89	eV per atom
density of states at the Fermi level	1.53	states/eV per atom
formation energy	1.587	eV/atom
crystal system	tetragonal

a = 4.642 Å, b = 4.953 Å, c = 4.953 Å
α = 90.00°, β = 90.00°, γ = 90.00°
Site moments in Bohr magnetons follow the coordinates.
Fractional coordinates of all 5 atoms:
Cd 0.500 0.500 0.500  -0.04
Cr 0.000 0.000 0.500  3.70
Cr 0.000 0.500 0.000  3.70
In 0.000 0.000 0.000  -0.07
Co 0.500 0.000 0.000  1.45


The following is a DFT calculation (GGA-PBEsol) of a relaxed structure of CsCd3Co.

Output
DFT total energy	-2.21	eV per atom
density of states at the Fermi level	0.59	states/eV per atom
formation energy	0.241	eV/atom
crystal system	cubic

a = 5.107 Å, b = 5.107 Å, c = 5.107 Å
α = 90.00°, β = 90.00°, γ = 90.00°
Fractional coordinates of all 5 atoms:
Cd 0.500 0.000 0.000
Cd 0.000 0.500 0.000
Cd 0.000 0.000 0.500
Cs 0.500 0.500 0.500
Co 0.000 0.000 0.000


The following is a DFT calculation (GGA-PBEsol) of a relaxed structure of CdCo4Cu.

Output
DFT total energy	-5.80	eV per atom
density of states at the Fermi level	1.10	states/eV per atom
formation energy	0.282	eV/atom
crystal system	cubic

a = 4.714 Å, b = 4.714 Å, c = 4.714 Å
α = 60.00°, β = 60.00°, γ = 60.00°
Site moments in Bohr magnetons follow the coordinates.
Fractional coordinates of all 6 atoms:
Co 0.376 0.873 0.376  1.55
Co 0.376 0.376 0.873  1.55
Co 0.376 0.376 0.376  1.55
Co 0.873 0.376 0.376  1.55
Cu 0.750 0.750 0.750  0.02
Cd 0.000 0.000 0.000  -0.05


The following is a DFT calculation (GGA-PBEsol) of a relaxed structure of CdCoCu.

Output
DFT total energy	-4.16	eV per atom
density of states at the Fermi level	1.31	states/eV per atom
formation energy	0.266	eV/atom
crystal system	tetragonal

a = 2.809 Å, b = 2.809 Å, c = 5.529 Å
α = 104.69°, β = 104.71°, γ = 90.00°
Site moments in Bohr magnetons follow the coordinates.
Fractional coordinates of all 3 atoms:
Cd 0.999 0.999 0.998  -0.03
Cu 0.683 0.683 0.365  0.06
Co 0.318 0.318 0.637  1.32


The following is a DFT calculation (GGA-PBEsol) of a relaxed structure of CdCoCuMo2.

Output
DFT total energy	-4.68	eV per atom
density of states at the Fermi level	1.46	states/eV per atom
formation energy	2.682	eV/atom
crystal system	tetragonal

a = 4.455 Å, b = 4.823 Å, c = 4.823 Å
α = 90.00°, β = 90.00°, γ = 90.00°
Site moments in Bohr magnetons follow the coordinates.
Fractional coordinates of all 5 atoms:
Mo 0.000 0.500 0.000  0.01
Mo 0.000 0.000 0.500  0.01
Co 0.500 0.000 0.000  1.66
Cu 0.500 0.500 0.500  0.01
Cd 0.000 0.000 0.000  -0.01


The following is a DFT calculation (GGA-PBEsol) of a relaxed structure of Cd2CoCuP.

Output
DFT total energy	-3.16	eV per atom
density of states at the Fermi level	0.73	states/eV per atom
formation energy	0.890	eV/atom
crystal system	tetragonal

a = 4.159 Å, b = 4.865 Å, c = 4.865 Å
α = 90.00°, β = 90.00°, γ = 90.00°
Site moments in Bohr magnetons follow the coordinates.
Fractional coordinates of all 5 atoms:
Cd 0.000 0.000 0.500  -0.01
Cd 0.000 0.500 0.000  -0.01
Co 0.500 0.500 0.500  1.88
Cu 0.000 0.000 0.000  -0.02
P 0.500 0.000 0.000  -0.03


The following is a DFT calculation (GGA-PBEsol) of a relaxed structure of CdCoCu2W.

Output
DFT total energy	-4.23	eV per atom
density of states at the Fermi level	1.03	states/eV per atom
formation energy	2.051	eV/atom
crystal system	tetragonal

a = 4.417 Å, b = 4.417 Å, c = 4.537 Å
α = 90.00°, β = 90.00°, γ = 90.00°
Site moments in Bohr magnetons follow the coordinates.
Fractional coordinates of all 5 atoms:
Cd 0.000 0.000 0.000  -0.04
Cu 0.000 0.500 0.000  0.01
Cu 0.500 0.000 0.000  0.01
W 0.500 0.500 0.500  0.80
Co 0.000 0.000 0.500  1.68


The following is a DFT calculation (GGA-PBEsol) of a relaxed structure of Dy4CdCo.

Output
DFT total energy	-5.07	eV per atom
density of states at the Fermi level	0.76	states/eV per atom
formation energy	-0.264	eV/atom
crystal system	cubic

a = 9.297 Å, b = 9.297 Å, c = 9.297 Å
α = 60.00°, β = 60.00°, γ = 60.00°
Fractional coordinates of all 24 atoms:
Dy 0.847 0.847 0.460
Dy 0.061 0.061 0.439
Dy 0.311 0.689 0.689
Dy 0.311 0.311 0.689
Dy 0.689 0.311 0.311
Dy 0.689 0.689 0.311
Dy 0.311 0.689 0.311
Dy 0.439 0.439 0.061
Dy 0.439 0.061 0.439
Dy 0.689 0.311 0.689
Dy 0.847 0.460 0.847
Dy 0.439 0.061 0.061
Dy 0.847 0.847 0.847
Dy 0.061 0.439 0.439
Dy 0.061 0.439 0.061
Dy 0.460 0.847 0.847
Cd 0.080 0.759 0.080
Cd 0.759 0.080 0.080
Cd 0.080 0.080 0.080
Cd 0.080 0.080 0.759
Co 0.641 0.641 0.641
Co 0.077 0.641 0.641
Co 0.641 0.077 0.641
Co 0.641 0.641 0.077